No. 1
Tl3TeI6 | PBE-GGA | optimized geometry

The space group is P2_1/c (No. 14) and the conventional cell measures 7.8352, 8.8687 and 14.3696 Å, with angles of 90.00, 115.05 and 90.00 degrees. The distinct sites, in fractional coordinates, are Tl at (0.0000, 0.0000, 0.0000), Tl at (0.3040, 0.1191, 0.7775), Te at (0.5000, 0.0000, 0.5000), I at (0.1305, 0.0190, 0.2503), I at (0.2623, 0.6570, 0.0845) and I at (0.4065, 0.2028, 0.0605).

The formation energy without anion corrections comes out at -37.4 kJ/mol of atoms.

No. 2
Tl6TeI12 | PBE-GGA | optimized geometry

The space group is R-3 (No. 148, hexagonal axes) and the conventional cell measures 14.0243, 14.0243 and 15.9134 Å, with angles of 90.00, 90.00 and 120.00 degrees. The distinct sites, in fractional coordinates, are Tl at (0.0455, 0.6102, 0.2674), Te at (0.0000, 0.0000, 0.0000), I at (0.0374, 0.8074, 0.3886) and I at (0.0988, 0.8993, 0.8902).

The formation energy without anion corrections comes out at -36.2 kJ/mol of atoms.

No. 3
TlTe3I | PBE-GGA | optimized geometry

The space group is Pm-3m (No. 221) and the conventional cell measures 5.8026, 5.8026 and 5.8026 Å, with angles of 90.00, 90.00 and 90.00 degrees. The distinct sites, in fractional coordinates, are Tl at (0.0000, 0.0000, 0.0000), Te at (0.0000, 0.0000, 0.5000) and I at (0.5000, 0.5000, 0.5000).

The formation energy without anion corrections comes out at 61.3 kJ/mol of atoms.

No. 4
TlTeI2 | PBE-GGA | optimized geometry

The space group is I-42d (No. 122) and the conventional cell measures 6.1027, 6.1027 and 20.3582 Å, with angles of 90.00, 90.00 and 90.00 degrees. The distinct sites, in fractional coordinates, are Tl at (0.0000, 0.0000, 0.0000), Te at (0.0000, 0.0000, 0.5000) and I at (0.1946, 0.2500, 0.6250).

The formation energy without anion corrections comes out at -4.1 kJ/mol of atoms.

No. 5
Tl12Te5I2 | PBE-GGA | optimized geometry

The space group is C2/m (No. 12) and the conventional cell measures 21.1740, 8.3192 and 9.3836 Å, with angles of 90.00, 106.98 and 90.00 degrees. The distinct sites, in fractional coordinates, are Tl at (0.0219, 0.0000, 0.2227), Tl at (0.0753, 0.5000, 0.7632), Tl at (0.1438, 0.2217, 0.0392), Tl at (0.1847, 0.2545, 0.6206), Te at (0.0000, 0.5000, 0.0000), Te at (0.1807, 0.0000, 0.3478), Te at (0.2473, 0.0000, 0.8874) and I at (0.0000, 0.2368, 0.5000).

The formation energy without anion corrections comes out at -28.8 kJ/mol of atoms.

No. 6
Tl3Te2I | PBE-GGA | optimized geometry

The space group is Pmc2_1 (No. 26) and the conventional cell measures 4.6428, 10.9481 and 8.8978 Å, with angles of 90.00, 90.00 and 90.00 degrees. The distinct sites, in fractional coordinates, are Tl at (0.0000, 0.0615, 0.0000), Tl at (0.5000, 0.2179, 0.3524), Tl at (0.5000, 0.4197, 0.7905), Te at (0.0000, 0.2515, 0.5944), Te at (0.5000, 0.0554, 0.7297) and I at (0.0000, 0.3668, 0.1003).

The formation energy without anion corrections comes out at -24.2 kJ/mol of atoms.

No. 7
Tl2Te2I | PBE-GGA | optimized geometry

The space group is P4/mbm (No. 127) and the conventional cell measures 9.9892, 9.9892 and 3.8486 Å, with angles of 90.00, 90.00 and 90.00 degrees. The distinct sites, in fractional coordinates, are Tl at (0.1809, 0.3191, 0.0000), Te at (0.0971, 0.5971, 0.5000) and I at (0.0000, 0.0000, 0.0000).

The formation energy without anion corrections comes out at -15.0 kJ/mol of atoms.

No. 8
Tl3TeI | PBE-GGA | optimized geometry

The space group is P-1 (No. 2) and the conventional cell measures 7.9835, 7.9871 and 8.8719 Å, with angles of 63.32, 63.31 and 60.10 degrees. The distinct sites, in fractional coordinates, are Tl at (0.0195, 0.1546, 0.2092), Tl at (0.1547, 0.6162, 0.2093), Tl at (0.3838, 0.9800, 0.7907), Te at (0.1790, 0.1790, 0.4633) and I at (0.3887, 0.3899, 0.8317).

The formation energy without anion corrections comes out at -38.1 kJ/mol of atoms.

No. 9
TlTeI6 | PBE-GGA | optimized geometry

The space group is R-3 (No. 148, hexagonal axes) and the conventional cell measures 7.6007, 7.6007 and 21.3319 Å, with angles of 90.00, 90.00 and 120.00 degrees. The distinct sites, in fractional coordinates, are Tl at (0.0000, 0.0000, 0.0000), Te at (0.0000, 0.0000, 0.5000) and I at (0.0005, 0.3585, 0.9128).

The formation energy without anion corrections comes out at -13.2 kJ/mol of atoms.

No. 10
Tl8TeI6 | PBE-GGA | optimized geometry

The space group is R-3 (No. 148, hexagonal axes) and the conventional cell measures 14.5309, 14.5309 and 10.5682 Å, with angles of 90.00, 90.00 and 120.00 degrees. The distinct sites, in fractional coordinates, are Tl at (0.0000, 0.0000, 0.1759), Tl at (0.0511, 0.2388, 0.6492), Te at (0.0000, 0.0000, 0.5000) and I at (0.0513, 0.2534, 0.1651).

The formation energy without anion corrections comes out at -51.2 kJ/mol of atoms.

No. 11
Tl3TeI | PBE-GGA | optimized geometry

The space group is Pm-3m (No. 221) and the conventional cell measures 6.5240, 6.5240 and 6.5240 Å, with angles of 90.00, 90.00 and 90.00 degrees. The distinct sites, in fractional coordinates, are Tl at (0.0000, 0.0000, 0.5000), Te at (0.0000, 0.0000, 0.0000) and I at (0.5000, 0.5000, 0.5000).

The formation energy without anion corrections comes out at -13.1 kJ/mol of atoms.

No. 12
Tl8Te4I | PBE-GGA | optimized geometry

The space group is F-43m (No. 216) and the conventional cell measures 13.8920, 13.8920 and 13.8920 Å, with angles of 90.00, 90.00 and 90.00 degrees. The distinct sites, in fractional coordinates, are Tl at (0.1085, 0.1085, 0.3915), Tl at (0.1389, 0.1389, 0.8611), Te at (0.1284, 0.1284, 0.6284) and I at (0.2500, 0.2500, 0.2500).

The formation energy without anion corrections comes out at -25.7 kJ/mol of atoms.